No. 1
{"formula": "TlFeIrOs", "functional": "PBE", "state": "optimized geometry", "magnetic_moment_mub_per_atom": 1.014, "total_energy_ev_per_atom": -6.95, "lattice_angstrom": [[-0.0135, -4.1711, -1.6348], [-3.2125, -2.8740, 1.2207], [-3.1356, -1.2397, -2.9498]], "species": ["Fe", "Os", "Ir", "Tl"], "frac_coords": [[0.7500, 0.7500, 0.7500], [0.5000, 0.5000, 0.5000], [0.2500, 0.2500, 0.2500], [0.0000, 0.0000, 0.0000]]}

---

No. 2
{"formula": "NdCl2", "functional": "PBE", "state": "optimized geometry", "magnetic_moment_mub_per_atom": 0.001, "total_energy_ev_per_atom": -4.81, "lattice_angstrom": [[-1.7501, 1.7501, 6.5954], [1.7501, -1.7501, 6.5954], [1.7501, 1.7501, -6.5954]], "species": ["Cl", "Nd", "Cl"], "frac_coords": [[0.3780, 0.3780, 0.0000], [0.0000, 0.0000, 0.0000], [0.6220, 0.6220, 0.0000]]}

---

No. 3
{"formula": "MgHgSO", "functional": "PBE", "state": "optimized geometry", "total_energy_ev_per_atom": -3.61, "lattice_angstrom": [[-0.7199, -3.3901, 1.6364], [3.5237, 0.8016, -1.2774], [2.7049, 4.3425, 10.1862]], "species": ["Hg", "S", "O", "Hg", "S", "O", "Mg", "Mg"], "frac_coords": [[0.3333, 0.6666, 0.2669], [0.3333, 0.6666, 0.5899], [0.0000, 0.0000, 0.8303], [0.6667, 0.3334, 0.7669], [0.6667, 0.3334, 0.0899], [0.0000, 0.0000, 0.3303], [0.0000, 0.0000, 0.5006], [0.0000, 0.0000, 0.0006]]}